Record 1
Density functional theory data (SCAN) for Sr2AgBr at its PBEsol-relaxed geometry.

a = 4.516 Å, b = 4.537 Å, c = 6.403 Å
α = 90.00°, β = 90.00°, γ = 90.00°
Fractional coordinates of all 4 atoms:
1 Sr 0.000 0.000 0.000
2 Sr 0.500 0.500 0.500
3 Ag 0.000 0.000 0.500
4 Br 0.500 0.500 0.000

Total moment, μB/f.u.: 0.0
Offset from the most stable computed form, kJ/mol of atoms: 5.4
Uncorrected formation energy, meV/atom: -928

---

Record 2
Density functional theory data (SCAN) for SrTcAg2Br at its PBEsol-relaxed geometry.

a = 5.022 Å, b = 5.022 Å, c = 5.551 Å
α = 90.00°, β = 90.00°, γ = 90.00°
Fractional coordinates of all 5 atoms:
1 Sr 0.000 0.000 0.000
2 Tc 0.500 0.500 0.000
3 Ag 0.000 0.500 0.500
4 Ag 0.500 0.000 0.500
5 Br 0.000 0.000 0.500

Total moment, μB/f.u.: 3.6
Uncorrected formation energy, meV/atom: 962

---

Record 3
Density functional theory data (SCAN) for TaAgBr at its PBEsol-relaxed geometry.

a = 4.442 Å, b = 4.442 Å, c = 4.442 Å
α = 60.00°, β = 60.00°, γ = 60.00°
Fractional coordinates of all 3 atoms:
1 Ta 0.000 0.000 0.000
2 Ag 0.750 0.750 0.750
3 Br 0.250 0.250 0.250

Total moment, μB/f.u.: 1.3
Uncorrected formation energy, meV/atom: 1047

---

Record 4
Density functional theory data (SCAN) for Tc2AgBr at its PBEsol-relaxed geometry.

a = 2.937 Å, b = 2.937 Å, c = 7.887 Å
α = 90.00°, β = 90.00°, γ = 90.00°
Fractional coordinates of all 4 atoms:
1 Tc 0.000 0.000 0.000
2 Tc 0.500 0.500 0.184
3 Ag 0.000 0.000 0.445
4 Br 0.500 0.500 0.758

Total moment, μB/f.u.: 0.0
Uncorrected formation energy, meV/atom: 409

---

Record 5
Density functional theory data (SCAN) for Ag2TeBr at its PBEsol-relaxed geometry.

a = 4.999 Å, b = 4.999 Å, c = 4.999 Å
α = 60.00°, β = 60.00°, γ = 60.00°
Fractional coordinates of all 4 atoms:
1 Ag 0.250 0.250 0.250
2 Ag 0.750 0.750 0.750
3 Te 0.000 0.000 0.000
4 Br 0.500 0.500 0.500

Total moment, μB/f.u.: 0.9
Offset from the most stable computed form, kJ/mol of atoms: 36.5
Uncorrected formation energy, meV/atom: 202

---

Record 6
Density functional theory data (SCAN) for Ag2TeBr at its PBEsol-relaxed geometry.

a = 3.652 Å, b = 3.652 Å, c = 7.126 Å
α = 90.00°, β = 90.00°, γ = 90.00°
Fractional coordinates of all 4 atoms:
1 Ag 0.000 0.000 0.000
2 Ag 0.500 0.500 0.205
3 Te 0.500 0.500 0.816
4 Br 0.000 0.000 0.392

Total moment, μB/f.u.: 0.0
Offset from the most stable computed form, kJ/mol of atoms: 3.2
Uncorrected formation energy, meV/atom: -143